## BaCo2CuF8 (PBE with a Hubbard U)

Data for BaCo2CuF8 after structural relaxation.

a = 4.6963 Å, b = 5.2047 Å, c = 7.6120 Å
α = 94.73°, β = 90.07°, γ = 97.69°
Positions (direct):
Ba: 0.0000 0.0000 0.0000
Co: 0.4717 0.5342 0.6915
Co: 0.5283 0.4658 0.3085
Cu: 0.0000 0.0000 0.5000
F: 0.1451 0.2242 0.3195
F: 0.1550 0.2423 0.7107
F: 0.3509 0.7088 0.4832
F: 0.4249 0.7256 0.9205
F: 0.5751 0.2744 0.0795
F: 0.6491 0.2912 0.5168
F: 0.8450 0.7577 0.2893
F: 0.8549 0.7758 0.6805

Properties
Energy, eV/cell: -59.29
Magnetic moment, μB/f.u.: 7.003
Crystal system: triclinic